one.
GGA-PBE BaLaTi2Fe, optimized geometry; total magnetic moment = 2.05 μB/f.u.
1.0
4.913 0.000 0.000
0.000 5.358 0.000
0.000 0.000 4.913
Ba Fe Ti La
1 1 2 1
direct
0.500 0.500 0.500
0.000 0.000 0.000
0.000 0.000 0.500
0.500 0.000 0.000
0.000 0.500 0.000


two.
GGA-PBE BaLaTi2Fe, optimized geometry; total magnetic moment = 1.63 μB/f.u.
1.0
-4.591 0.507 2.258
1.731 -2.453 4.071
1.503 4.468 2.053
Ba Fe Ti La
1 1 2 1
direct
0.000 0.000 0.000
0.000 0.500 0.000
0.500 0.000 0.000
0.000 0.000 0.500
0.500 0.500 0.500


Which structure loses on stability? two does.


one.
GGA-PBE BaLi2Fe, optimized geometry; total magnetic moment = 2.49 μB/f.u.
1.0
-1.458 -2.801 -4.478
4.957 -0.993 -2.112
-1.574 -1.122 5.127
Li Fe Ba
2 1 1
direct
0.250 0.750 0.500
0.000 0.000 0.000
0.750 0.250 0.500
0.500 0.500 0.000


two.
GGA-PBE BaLi2Fe, optimized geometry; total magnetic moment = 2.11 μB/f.u.
1.0
6.295 -1.076 -0.639
5.369 3.457 -0.639
5.369 1.096 3.341
Li Ba Fe
2 1 1
direct
0.306 0.306 0.306
0.007 0.007 0.007
0.494 0.494 0.494
0.692 0.692 0.692


three.
GGA-PBE BaLi2Fe, optimized geometry; total magnetic moment = 2.25 μB/f.u.
1.0
5.847 0.037 0.097
4.773 3.378 0.097
1.587 0.510 5.129
Fe Li Ba
1 2 1
direct
0.250 0.250 0.250
0.543 0.543 0.422
0.957 0.957 0.078
0.750 0.750 0.750


Which structure loses on stability? one does.


one.
GGA-PBE BaLi2Fe, optimized geometry; total magnetic moment = 2.24 μB/f.u.
1.0
4.388 0.000 0.000
0.000 3.687 0.070
0.000 1.706 6.669
Ba Li Fe
1 2 1
direct
0.000 0.533 0.556
0.000 0.802 0.023
0.500 0.256 0.116
0.500 0.910 0.805


two.
GGA-PBE BaLi2Fe, optimized geometry; total magnetic moment = 2.82 μB/f.u.
1.0
3.507 -0.036 0.000
0.036 3.507 0.000
0.000 0.000 7.752
Li Fe Ba
2 1 1
direct
0.000 0.000 0.586
0.000 0.000 0.914
0.500 0.500 0.750
0.500 0.500 0.250


three.
GGA-PBE BaLi2Fe, optimized geometry; total magnetic moment = 2.30 μB/f.u.
1.0
5.763 -0.119 0.000
2.363 5.257 0.000
-4.063 -2.569 3.180
Fe Li Ba
1 2 1
direct
0.750 0.250 0.500
0.000 0.000 0.000
0.500 0.500 0.000
0.250 0.750 0.500


Which structure loses on stability? two does.


one.
GGA-PBE BaLi2Fe, optimized geometry; total magnetic moment = 2.41 μB/f.u.
1.0
3.566 0.000 0.000
0.000 3.566 0.000
0.000 0.000 7.772
Ba Fe Li
1 1 2
direct
0.000 0.000 0.537
0.500 0.500 0.822
0.500 0.500 0.166
0.000 0.000 0.976


two.
GGA-PBE BaLi2Fe, optimized geometry; total magnetic moment = 0.13 μB/f.u.
1.0
4.025 -2.728 -1.181
2.383 -2.608 3.544
-0.266 -4.997 0.034
Fe Li Ba
1 2 1
direct
0.000 0.000 0.000
0.750 0.750 0.750
0.250 0.250 0.250
0.500 0.500 0.500


Which structure loses on stability? two does.


one.
GGA-PBE BaLi2Fe, optimized geometry; total magnetic moment = 2.43 μB/f.u.
1.0
4.001 0.000 0.000
0.000 4.868 0.000
0.000 0.000 5.387
Li Fe Ba
2 1 1
direct
0.000 0.000 0.000
0.500 0.500 0.000
0.000 0.500 0.500
0.500 0.000 0.500


two.
GGA-PBE BaLi2Fe, optimized geometry; total magnetic moment = 2.47 μB/f.u.
1.0
5.085 0.000 0.000
0.000 3.430 0.034
0.000 0.605 5.651
Ba Fe Li
1 1 2
direct
0.500 0.250 0.250
0.500 0.750 0.750
0.000 0.536 0.571
0.000 0.964 0.929


three.
GGA-PBE BaLi2Fe, optimized geometry; total magnetic moment = 2.37 μB/f.u.
1.0
-4.480 2.249 -3.097
-4.874 0.558 3.263
5.619 1.748 -0.299
Li Fe Ba
2 1 1
direct
0.029 0.029 0.000
0.772 0.272 0.500
0.218 0.718 0.500
0.481 0.481 0.000


Which structure loses on stability? one does.


one.
GGA-PBE BaLi2Fe, optimized geometry; total magnetic moment = 2.29 μB/f.u.
1.0
5.696 0.047 0.000
-2.546 5.096 0.000
0.000 0.000 3.211
Ba Li Fe
1 2 1
direct
0.500 0.000 0.500
0.500 0.500 0.000
0.000 0.000 0.000
0.000 0.500 0.500


two.
GGA-PBE BaLi2Fe, optimized geometry; total magnetic moment = 2.26 μB/f.u.
1.0
-1.729 5.658 -2.121
-5.622 0.670 -2.727
3.269 -1.558 5.136
Li Fe Ba
2 1 1
direct
0.046 0.046 0.000
0.454 0.454 0.000
0.250 0.750 0.500
0.750 0.250 0.500


three.
GGA-PBE BaLi2Fe, optimized geometry; total magnetic moment = 3.07 μB/f.u.
1.0
10.249 -0.010 -0.006
9.717 3.259 -0.006
9.717 1.581 2.850
Li Fe Ba
2 1 1
direct
0.480 0.480 0.480
0.020 0.020 0.020
0.750 0.750 0.750
0.250 0.250 0.250


Which structure loses on stability? three does.